Entry 1:
DFT (PBE) results for Hg12Ge5Te3 after structural relaxation.

Cell and atoms, written as POSCAR:
```
Hg12Ge5Te3
1.0
-8.4070 8.4070 8.4070
8.4070 -8.4070 8.4070
8.4070 8.4070 -8.4070
Hg Ge Te
48 20 12
direct
0.0364 0.2138 0.1109
0.0364 0.3226 0.9255
0.0745 0.6109 0.3972
0.0745 0.9636 0.6774
0.1028 0.7138 0.6774
0.1028 0.8891 0.4255
0.1109 0.0364 0.2138
0.1109 0.5745 0.8972
0.1774 0.2138 0.6028
0.1774 0.4636 0.5745
0.2138 0.1109 0.0364
0.2138 0.6028 0.1774
0.2862 0.3226 0.8972
0.2862 0.4636 0.3891
0.3226 0.8972 0.2862
0.3226 0.9255 0.0364
0.3891 0.2862 0.4636
0.3891 0.6028 0.9255
0.3972 0.0745 0.6109
0.3972 0.8226 0.7862
0.4255 0.1028 0.8891
0.4255 0.8226 0.5364
0.4636 0.3891 0.2862
0.4636 0.5745 0.1774
0.5364 0.4255 0.8226
0.5364 0.6109 0.7138
0.5745 0.1774 0.4636
0.5745 0.8972 0.1109
0.6028 0.1774 0.2138
0.6028 0.9255 0.3891
0.6109 0.3972 0.0745
0.6109 0.7138 0.5364
0.6774 0.0745 0.9636
0.6774 0.1028 0.7138
0.7138 0.5364 0.6109
0.7138 0.6774 0.1028
0.7862 0.3972 0.8226
0.7862 0.8891 0.9636
0.8226 0.5364 0.4255
0.8226 0.7862 0.3972
0.8891 0.4255 0.1028
0.8891 0.9636 0.7862
0.8972 0.1109 0.5745
0.8972 0.2862 0.3226
0.9255 0.0364 0.3226
0.9255 0.3891 0.6028
0.9636 0.6774 0.0745
0.9636 0.7862 0.8891
0.0000 0.0000 0.0000
0.0000 0.0000 0.5000
0.0000 0.5000 0.0000
0.0000 0.5000 0.5000
0.1250 0.7500 0.8750
0.1250 0.8750 0.2500
0.2500 0.1250 0.8750
0.2500 0.6250 0.3750
0.3750 0.2500 0.6250
0.3750 0.6250 0.7500
0.5000 0.0000 0.0000
0.5000 0.0000 0.5000
0.5000 0.5000 0.0000
0.5000 0.5000 0.5000
0.6250 0.3750 0.2500
0.6250 0.7500 0.3750
0.7500 0.3750 0.6250
0.7500 0.8750 0.1250
0.8750 0.1250 0.7500
0.8750 0.2500 0.1250
0.1250 0.2500 0.3750
0.1250 0.3750 0.7500
0.2500 0.3750 0.1250
0.2500 0.8750 0.6250
0.3750 0.1250 0.2500
0.3750 0.7500 0.1250
0.6250 0.2500 0.8750
0.6250 0.8750 0.7500
0.7500 0.1250 0.3750
0.7500 0.6250 0.8750
0.8750 0.6250 0.2500
0.8750 0.7500 0.6250
```

Values from the calculation:
SG   Ia-3d, No. 230
E_form (uncorrected)   3.095 eV per formula unit
Crystal system   cubic


Entry 2:
DFT (PBE) results for CsRbGa3 after structural relaxation.

Cell and atoms, written as POSCAR:
```
CsRbGa3
1.0
6.3271 0.0000 0.0000
0.0000 6.3271 0.0000
0.0000 0.0000 6.3271
Cs Rb Ga
1 1 3
direct
0.0000 0.0000 0.0000
0.5000 0.5000 0.5000
0.0000 0.5000 0.5000
0.5000 0.0000 0.5000
0.5000 0.5000 0.0000
```

Values from the calculation:
E_form   752 meV per atom
SG   Pm-3m, No. 221
Crystal system   cubic


Entry 3:
DFT (PBE) results for Mn2NiAs after structural relaxation.

Cell and atoms, written as POSCAR:
```
Mn2NiAs
1.0
3.6419 0.0000 0.0000
0.0000 3.6419 0.0000
0.0000 0.0000 3.7158
Mn Ni As
2 1 1
direct
0.0000 0.5000 0.0000
0.5000 0.0000 0.0000
0.0000 0.0000 0.5000
0.5000 0.5000 0.5000
```

Values from the calculation:
E_form   -84 meV per atom
SG   P4/mmm, No. 123
Crystal system   tetragonal


Entry 4:
DFT (PBE) results for KTa2Os after structural relaxation.

Cell and atoms, written as POSCAR:
```
KTa2Os
1.0
3.0488 0.0000 0.0000
0.0000 4.8026 0.0000
0.0000 0.0000 5.1300
K Ta Os
1 2 1
direct
0.0000 0.0000 0.0000
0.0000 0.5000 0.5000
0.5000 0.5000 0.0000
0.5000 0.0000 0.5000
```

Values from the calculation:
E_form   1415 meV per atom
SG   Pmmm, No. 47
Crystal system   orthorhombic


Per-record electronic total energy, eV per atom: -1.65 -1.43 -7.28 -7.59